Computed, not measured: CaHgAsC2 after structural relaxation at the PBE level of DFT.

a b c (Å): 4.614 4.614 5.765
angles (deg): 90.00 90.00 90.00
Positions (direct):
Ca 0.000 0.000 0.000
Hg 0.500 0.500 0.500
As 0.000 0.000 0.500
C 0.000 0.500 0.000
C 0.500 0.000 0.000

* energy: -2.717 eV per atom
* ΔH_f (0 K): 1140 kJ/mol of formula units